# 1
The following is a GGA-PBE calculation of NdMg2Sn2 after structural relaxation, from the Alexandria database.

Unit cell a=7.217 b=7.217 c=4.501 alpha=107.54 beta=107.54 gamma=36.33
Fractional coordinates of all 5 atoms:
Nd 0.000 0.000 0.000
Mg 0.250 0.250 0.751
Mg 0.750 0.750 0.249
Sn 0.391 0.391 0.388
Sn 0.609 0.609 0.612

Total energy (Ha/atom): -0.1322
Relative energy among the computed polymorphs (meV/atom): 0
Magnetization (μB/atom): 0.000
Formation energy from the elements (eV/f.u.): -2.0

# 2
The following is a GGA-PBE calculation of Nd3Mg7Sn4 after structural relaxation, from the Alexandria database.

Unit cell a=8.958 b=8.958 c=10.930 alpha=123.76 beta=123.76 gamma=29.94
Fractional coordinates of all 14 atoms:
Nd 0.000 0.000 0.000
Nd 0.309 0.309 0.301
Nd 0.691 0.691 0.699
Mg 0.000 0.000 0.500
Mg 0.159 0.159 0.436
Mg 0.322 0.322 0.981
Mg 0.488 0.488 0.682
Mg 0.512 0.512 0.318
Mg 0.678 0.678 0.019
Mg 0.841 0.841 0.564
Sn 0.117 0.117 0.835
Sn 0.347 0.347 0.743
Sn 0.653 0.653 0.257
Sn 0.883 0.883 0.165

Total energy (Ha/atom): -0.1243
Magnetization (μB/atom): 0.000
Formation energy from the elements (eV/f.u.): -5.9

# 3
The following is a GGA-PBE calculation of TbNdMgSn after structural relaxation, from the Alexandria database.

Unit cell a=5.383 b=5.383 c=5.383 alpha=60.00 beta=60.00 gamma=60.00
Fractional coordinates of all 4 atoms:
Tb 0.000 0.000 0.000
Nd 0.500 0.500 0.500
Mg 0.750 0.750 0.750
Sn 0.250 0.250 0.250

Total energy (Ha/atom): -0.1533
Magnetization (μB/atom): 0.000
Formation energy from the elements (eV/f.u.): -1.7